Computed, not measured: BaTlW2 at its PBEsol-relaxed geometry at the meta-GGA SCAN level of DFT.

- Total moment: 0.00 μB/cell
- DOS(E_F): 0.8042 states/eV/atom
- Symmetry: No. 47
- ΔE_f: 1.6570 eV per atom

Cell and atoms, written as POSCAR:
```
BaTlW2
1.0
2.8978 0.0000 0.0000
0.0000 5.4083 0.0000
0.0000 0.0000 5.5194
W Tl Ba
2 1 1
Cartesian
1.4489 0.0000 2.7597
0.0000 0.0000 0.0000
0.0000 2.7041 2.7597
1.4489 2.7041 0.0000
```


Computed, not measured: BaTlW2 at its PBEsol-relaxed geometry at the meta-GGA SCAN level of DFT.

- Total moment: 0.00 μB/cell
- DOS(E_F): 1.0449 states/eV/atom
- Symmetry: No. 123
- ΔE_f: 1.8782 eV per atom

Cell and atoms, written as POSCAR:
```
BaTlW2
1.0
4.2642 0.0000 0.0000
0.0000 4.2642 0.0000
0.0000 0.0000 4.8870
Tl Ba W
1 1 2
Cartesian
0.0000 0.0000 2.4435
2.1321 2.1321 2.4435
0.0000 2.1321 0.0000
2.1321 0.0000 0.0000
```


Computed, not measured: BaTlW2 at its PBEsol-relaxed geometry at the meta-GGA SCAN level of DFT.

- Total moment: 0.00 μB/cell
- DOS(E_F): 0.7947 states/eV/atom
- Symmetry: No. 65
- ΔE_f: 1.5555 eV per atom

Cell and atoms, written as POSCAR:
```
BaTlW2
1.0
2.9306 0.0222 0.0000
-0.9631 2.7679 0.0000
0.0000 0.0000 10.5013
W Ba Tl
2 1 1
Cartesian
0.0000 0.0000 8.1968
0.0000 0.0000 2.3044
0.9837 1.3950 5.2506
0.9837 1.3950 0.0000
```


Computed, not measured: BaTl2W at its PBEsol-relaxed geometry at the meta-GGA SCAN level of DFT.

- Total moment: 0.00 μB/cell
- DOS(E_F): 0.5471 states/eV/atom
- Symmetry: No. 99
- ΔE_f: 0.8941 eV per atom

Cell and atoms, written as POSCAR:
```
BaTl2W
1.0
3.1259 0.0000 0.0000
0.0000 3.1259 0.0000
0.0000 0.0000 10.3343
Tl W Ba
2 1 1
Cartesian
1.5630 1.5630 2.8294
0.0000 0.0000 0.2542
0.0000 0.0000 4.9107
1.5630 1.5630 7.5071
```


Computed, not measured: BaYTl at its PBEsol-relaxed geometry at the meta-GGA SCAN level of DFT.

- Total moment: 0.38 μB/cell
- DOS(E_F): 0.9366 states/eV/atom
- Symmetry: No. 216
- ΔE_f: -0.1645 eV per atom

Cell and atoms, written as POSCAR:
```
BaYTl
1.0
5.4796 0.0000 0.0000
2.7398 4.7454 0.0000
2.7398 1.5818 4.4740
Tl Y Ba
1 1 1
Cartesian
2.7398 1.5818 1.1185
0.0000 0.0000 0.0000
5.4796 3.1636 2.2370
```


Computed, not measured: BaYTl2 at its PBEsol-relaxed geometry at the meta-GGA SCAN level of DFT.

- Total moment: 0.00 μB/cell
- DOS(E_F): 0.5570 states/eV/atom
- Symmetry: No. 123
- ΔE_f: -0.6129 eV per atom

Cell and atoms, written as POSCAR:
```
BaYTl2
1.0
-0.5157 -1.4272 3.6133
3.8810 -0.0244 0.5443
-0.3609 7.4941 2.9085
Tl Y Ba
2 1 1
Cartesian
-0.2855 5.9299 2.3014
-0.0753 1.5642 0.6071
1.6826 -0.7258 2.0788
1.5022 3.0213 3.5330
```


Computed, not measured: BaYTl2 at its PBEsol-relaxed geometry at the meta-GGA SCAN level of DFT.

- Total moment: 0.00 μB/cell
- DOS(E_F): 0.6369 states/eV/atom
- Symmetry: No. 6
- ΔE_f: -0.4431 eV per atom

Cell and atoms, written as POSCAR:
```
BaYTl2
1.0
-0.1254 -1.4209 3.4861
5.0725 -1.8925 -0.5889
2.1840 5.1749 2.1822
Tl Y Ba
2 1 1
Cartesian
3.1487 -0.4781 3.4768
1.9782 3.7046 5.1349
0.8039 1.4817 2.1628
4.2882 2.7845 2.8072
```


Computed, not measured: BaYTl at its PBEsol-relaxed geometry at the meta-GGA SCAN level of DFT.

- Total moment: 0.00 μB/cell
- DOS(E_F): 0.2928 states/eV/atom
- Symmetry: No. 129
- ΔE_f: -0.5329 eV per atom

Cell and atoms, written as POSCAR:
```
BaYTl
1.0
-4.9271 -1.6215 0.2987
1.3421 -3.3972 3.6950
-1.4875 5.5615 5.6536
Y Ba Tl
2 2 2
Cartesian
-0.7438 2.7807 2.8268
-2.5363 0.2714 4.8237
-0.6143 3.1071 6.7327
-2.6657 -0.0549 0.9177
0.2429 -0.0979 3.4747
-3.5230 3.1500 4.1757
```